Material: Ba5NaCd
Method: DFT, PBE-GGA
State: relaxed

The structure in POSCAR format:
```
Ba5NaCd
1.0
7.114 -4.222 0.000
7.114 4.222 0.000
-4.677 0.000 13.277
Ba Na Cd
10 2 2
Cartesian
3.607 3.849 9.958
0.169 1.435 8.504
0.792 1.299 12.804
2.508 -1.435 1.865
6.422 1.299 7.112
3.130 -1.299 6.165
7.044 1.435 11.412
8.760 -1.299 0.473
9.382 -1.435 4.773
5.945 -3.849 3.319
5.945 0.437 3.319
3.607 -0.437 9.958
0.000 0.000 0.000
-2.338 0.000 6.638
```

The space-group type is C2/c (15). Its total magnetization is 0.00 μB per atom. As for the calculated formation energy: 1.75 kJ/mol of atoms. The volume comes out at 797.6 Å³/cell. The crystal system is monoclinic.


Material: Ba2NaCd2
Method: DFT, PBE-GGA
State: relaxed

The structure in POSCAR format:
```
Ba2NaCd2
1.0
4.533 0.000 0.000
0.000 4.533 0.000
0.000 0.000 21.091
Ba Na Cd
4 2 4
Cartesian
0.000 0.000 2.496
0.000 0.000 18.595
2.266 2.266 8.050
2.266 2.266 13.042
0.000 0.000 10.546
2.266 2.266 0.000
0.000 2.266 5.273
0.000 2.266 15.819
2.266 0.000 5.273
2.266 0.000 15.819
```

The space-group type is I4/mmm (139). Its total magnetization is 0.00 μB per atom. As for the calculated formation energy: -6.43 kJ/mol of atoms. The calculation puts the offset from the most stable computed form at 154 meV/atom. The volume comes out at 433.3 Å³/cell. The crystal system is tetragonal.


Material: BaNaCd3
Method: DFT, PBE-GGA
State: relaxed

The structure in POSCAR format:
```
BaNaCd3
1.0
2.173 -14.684 0.000
2.173 14.684 0.000
0.000 0.000 5.125
Ba Na Cd
2 2 6
Cartesian
2.173 12.448 3.844
2.173 -12.448 1.281
2.173 8.475 1.281
2.173 -8.475 3.844
2.173 5.236 1.281
2.173 3.766 3.844
2.173 0.734 3.844
2.173 -0.734 1.281
2.173 -3.766 1.281
2.173 -5.236 3.844
```

The space-group type is Cmcm (63). Its total magnetization is 0.00 μB per atom. As for the calculated formation energy: -19.59 kJ/mol of atoms. The calculation puts the offset from the most stable computed form at 0 meV/atom. The volume comes out at 327.0 Å³/cell. The crystal system is orthorhombic.


Material: BaNa2Cd
Method: DFT, PBE-GGA
State: relaxed

The structure in POSCAR format:
```
BaNa2Cd
1.0
4.911 0.000 0.000
0.000 12.470 0.000
0.000 0.000 10.111
Ba Na Cd
4 8 4
Cartesian
0.000 0.712 2.528
0.000 11.758 7.583
2.455 5.523 7.583
2.455 6.947 2.528
0.000 4.317 0.547
0.000 4.317 4.508
0.000 8.153 5.603
0.000 8.153 9.563
2.455 1.918 5.603
2.455 1.918 9.563
2.455 10.552 0.547
2.455 10.552 4.508
0.000 2.941 7.583
0.000 9.529 2.528
2.455 3.294 2.528
2.455 9.176 7.583
```

The space-group type is Cmcm (63). Its total magnetization is 0.00 μB per atom. As for the calculated formation energy: -11.17 kJ/mol of atoms. The volume comes out at 619.1 Å³/cell. The crystal system is orthorhombic.


Material: Ba4Na5Cd2
Method: DFT, PBE-GGA
State: relaxed

The structure in POSCAR format:
```
Ba4Na5Cd2
1.0
9.325 0.000 0.000
0.000 4.547 0.000
-0.736 0.000 11.825
Ba Na Cd
4 5 2
Cartesian
1.310 0.000 4.212
1.344 0.000 11.203
7.245 0.000 0.623
7.278 0.000 7.614
1.279 2.274 7.761
4.012 2.274 2.184
4.294 2.274 5.913
4.577 2.274 9.642
7.309 2.274 4.064
0.498 2.274 1.642
8.090 2.274 10.184
```

The space-group type is P2/m (10). Its total magnetization is 0.00 μB per atom. As for the calculated formation energy: -8.85 kJ/mol of atoms. The volume comes out at 501.4 Å³/cell. The crystal system is monoclinic.


Material: Ba2NaCd
Method: DFT, PBE-GGA
State: relaxed

The structure in POSCAR format:
```
Ba2NaCd
1.0
4.496 0.000 0.000
-2.248 3.894 0.000
0.000 0.000 34.035
Ba Na Cd
6 3 3
Cartesian
0.000 0.000 0.000
0.000 0.000 6.479
0.000 2.596 22.690
0.000 2.596 29.169
2.248 1.298 11.345
2.248 1.298 17.824
0.000 0.000 25.926
0.000 2.596 14.581
2.248 1.298 3.236
0.000 0.000 20.264
0.000 2.596 8.919
2.248 1.298 31.609
```

The space-group type is R3m (160). Its total magnetization is 0.00 μB per atom. As for the calculated formation energy: -3.26 kJ/mol of atoms. The volume comes out at 595.8 Å³/cell. The crystal system is trigonal.


Material: BaNa2Cd9
Method: DFT, PBE-GGA
State: relaxed

The structure in POSCAR format:
```
BaNa2Cd9
1.0
3.037 1.753 9.855
-3.037 1.753 9.855
0.000 -3.507 9.855
Ba Na Cd
1 2 9
Cartesian
0.000 0.000 0.000
0.000 0.000 4.276
0.000 0.000 25.289
-1.549 -0.894 12.406
0.000 0.000 9.891
0.000 -1.789 17.159
-1.549 0.894 17.159
0.000 0.000 14.782
1.549 -0.894 12.406
0.000 1.789 12.406
0.000 0.000 19.674
1.549 0.894 17.159
```

The space-group type is R-3m (166). Its total magnetization is 0.00 μB per atom. As for the calculated formation energy: -16.45 kJ/mol of atoms. The volume comes out at 314.9 Å³/cell. The crystal system is trigonal.


Material: Ba6Na2Cd
Method: DFT, PBE-GGA
State: relaxed

The structure in POSCAR format:
```
Ba6Na2Cd
1.0
12.197 0.000 0.000
0.000 12.205 0.000
0.000 0.000 6.281
Ba Na Cd
12 4 2
Cartesian
0.371 2.372 0.000
1.402 7.495 3.140
2.372 11.819 3.140
3.727 5.716 0.000
4.697 1.392 0.000
5.727 8.474 3.140
6.470 3.731 3.140
7.500 10.813 0.000
8.470 6.489 0.000
9.825 0.386 3.140
10.795 4.711 3.140
11.825 9.834 0.000
2.506 3.573 3.140
3.592 9.676 0.000
8.604 2.529 0.000
9.691 8.632 3.140
0.000 6.103 0.000
6.098 0.000 3.140
```

The space-group type is Pnnm (58). Its total magnetization is 0.00 μB per atom. As for the calculated formation energy: -5.60 kJ/mol of atoms. The volume comes out at 934.9 Å³/cell. The crystal system is orthorhombic.


Material: BaNaCd2
Method: DFT, PBE-GGA
State: relaxed

The structure in POSCAR format:
```
BaNaCd2
1.0
5.543 0.000 0.000
0.000 5.543 0.000
0.000 0.000 4.530
Ba Na Cd
1 1 2
Cartesian
0.000 0.000 0.000
2.772 2.772 0.000
0.000 2.772 2.265
2.772 0.000 2.265
```

The space-group type is P4/mmm (123). Its total magnetization is 0.00 μB per atom. As for the calculated formation energy: -12.38 kJ/mol of atoms. The volume comes out at 139.2 Å³/cell. The crystal system is tetragonal.


Material: BaNaCd
Method: DFT, PBE-GGA
State: relaxed

The structure in POSCAR format:
```
BaNaCd
1.0
7.727 0.000 0.000
0.000 8.226 0.000
0.000 0.000 8.214
Ba Na Cd
4 4 4
Cartesian
1.932 2.009 0.000
1.932 6.122 4.107
5.795 2.104 4.107
5.795 6.217 0.000
1.932 2.020 4.138
1.932 6.133 0.031
5.795 2.094 0.031
5.795 6.207 4.138
0.000 0.000 2.093
0.000 4.113 6.200
3.864 0.000 2.093
3.864 4.113 6.200
```

The space-group type is Ama2 (40). Its total magnetization is 0.00 μB per atom. As for the calculated formation energy: -8.50 kJ/mol of atoms. The calculation puts the offset from the most stable computed form at 85 meV/atom. The volume comes out at 522.1 Å³/cell. The crystal system is orthorhombic.


Material: BaNaCd2
Method: DFT, PBE-GGA
State: relaxed

The structure in POSCAR format:
```
BaNaCd2
1.0
4.074 0.000 0.000
0.000 4.074 0.000
0.000 0.000 7.859
Ba Na Cd
1 1 2
Cartesian
0.000 0.000 0.000
0.000 0.000 3.929
2.037 2.037 2.300
2.037 2.037 5.559
```

The space-group type is P4/mmm (123). Its total magnetization is 0.00 μB per atom. As for the calculated formation energy: -17.12 kJ/mol of atoms. The volume comes out at 130.5 Å³/cell. The crystal system is tetragonal.


Material: BaNa3Cd
Method: DFT, PBE-GGA
State: relaxed

The structure in POSCAR format:
```
BaNa3Cd
1.0
7.485 0.000 0.000
0.000 7.485 0.000
0.000 0.000 7.485
Ba Na Cd
1 3 1
Cartesian
0.000 0.000 0.000
0.000 0.000 3.742
0.000 3.742 0.000
3.742 0.000 0.000
3.742 3.742 3.742
```

The space-group type is Pm-3m (221). Its total magnetization is 0.20 μB per atom. As for the calculated formation energy: 64.54 kJ/mol of atoms. The calculation puts the offset from the most stable computed form at 737 meV/atom. The volume comes out at 419.3 Å³/cell. The crystal system is cubic.